(1)
# TlFeMoIr2 GGA-PBE relaxed
# Formation enthalpy at 0 K (meV/atom): 1379
data_TlFeMoIr2
_cell_length_a 4.804
_cell_length_b 4.804
_cell_length_c 4.592
_cell_angle_alpha 90.00
_cell_angle_beta 90.00
_cell_angle_gamma 90.00
_symmetry_space_group_name_H-M 'P 4/m m m'
_symmetry_Int_Tables_number 123
_symmetry_space_group_name_Hall '-P 4 2'
loop_
_atom_site_label
_atom_site_type_symbol
_atom_site_fract_x
_atom_site_fract_y
_atom_site_fract_z
Tl1 Tl 0.000 0.000 0.000
Fe1 Fe 0.500 0.500 0.000
Mo1 Mo 0.500 0.500 0.500
Ir1 Ir 0.000 0.500 0.500

(2)
# BaSn2Te3 GGA-PBE relaxed
# Distance to the lowest polymorph of the same formula (eV per atom): 0.000
# Formation energy from raw total energies (eV/atom): -0.739
data_BaSn2Te3
_cell_length_a 14.952
_cell_length_b 6.797
_cell_length_c 9.377
_cell_angle_alpha 90.00
_cell_angle_beta 108.36
_cell_angle_gamma 90.00
_symmetry_space_group_name_H-M 'C 1 2/c 1'
_symmetry_Int_Tables_number 15
_symmetry_space_group_name_Hall '-C 2yc'
loop_
_atom_site_label
_atom_site_type_symbol
_atom_site_fract_x
_atom_site_fract_y
_atom_site_fract_z
Ba1 Ba 0.000 0.001 0.250
Sn1 Sn 0.163 0.472 0.582
Te1 Te 0.000 0.499 0.750
Te2 Te 0.181 0.024 0.592